1.
# CoTc2AgN PBE optimized geometry
data_CoTc2AgN
_cell_length_a 5.079
_cell_length_b 5.079
_cell_length_c 3.704
_cell_angle_alpha 90.00
_cell_angle_beta 90.00
_cell_angle_gamma 90.00
_symmetry_space_group_name_H-M 'P 4/m m m'
_symmetry_Int_Tables_number 123
_symmetry_space_group_name_Hall '-P 4 2'
loop_
_atom_site_label
_atom_site_fract_x
_atom_site_fract_y
_atom_site_fract_z
Co1 0.000 0.000 0.000
Tc1 0.000 0.500 0.500
Ag1 0.500 0.500 0.500
N1 0.500 0.500 0.000
# ΔE to the lowest computed polymorph: 2365.1 meV per atom
# Crystal system: tetragonal
# Energy relative to the elements, uncorrected: 251 kJ per mole of atoms

***

2.
# K2DyMnS4 PBE optimized geometry
data_K2DyMnS4
_cell_length_a 7.870
_cell_length_b 8.196
_cell_length_c 11.921
_cell_angle_alpha 90.00
_cell_angle_beta 90.00
_cell_angle_gamma 90.00
_symmetry_space_group_name_H-M 'I m m a'
_symmetry_Int_Tables_number 74
_symmetry_space_group_name_Hall '-I 2b 2'
loop_
_atom_site_label
_atom_site_fract_x
_atom_site_fract_y
_atom_site_fract_z
K1 0.000 0.000 0.000
K2 0.250 0.250 0.250
Dy1 0.000 0.000 0.500
Mn1 0.250 0.250 0.750
S1 0.000 0.063 0.739
S2 0.225 0.250 0.508
# Crystal system: orthorhombic
# Energy relative to the elements, uncorrected: -119 kJ per mole of atoms

***

3.
# SmEr3Au4 PBE optimized geometry
data_SmEr3Au4
_cell_length_a 5.0733
_cell_length_b 5.0733
_cell_length_c 25.0875
_cell_angle_alpha 90.00
_cell_angle_beta 90.00
_cell_angle_gamma 120.00
_symmetry_space_group_name_H-M 'R -3 m'
_symmetry_Int_Tables_number 166
_symmetry_space_group_name_Hall '-R 3 2"'
loop_
_atom_site_label
_atom_site_fract_x
_atom_site_fract_y
_atom_site_fract_z
Sm1 0.0000 0.0000 0.0000
Er1 0.0000 0.0000 0.2492
Er2 0.0000 0.0000 0.5000
Au1 0.0000 0.0000 0.1274
Au2 0.0000 0.0000 0.3789
# Energy relative to the elements: -0.857 eV/atom
# Crystal system: trigonal

***

4.
# La4Nd4In PBE optimized geometry
data_La4Nd4In
_cell_length_a 6.251
_cell_length_b 6.258
_cell_length_c 8.888
_cell_angle_alpha 77.33
_cell_angle_beta 77.61
_cell_angle_gamma 68.96
_symmetry_space_group_name_H-M 'P 1'
_symmetry_Int_Tables_number 1
loop_
_symmetry_equiv_pos_as_xyz
'x,y,z'
loop_
_atom_site_label
_atom_site_fract_x
_atom_site_fract_y
_atom_site_fract_z
La1 0.000 0.000 0.000
La2 0.002 0.002 0.504
La3 0.380 0.381 0.913
La4 0.623 0.622 0.091
Nd1 0.057 0.537 0.308
Nd2 0.470 0.951 0.696
Nd3 0.535 0.053 0.308
Nd4 0.947 0.467 0.696
In1 0.502 0.502 0.502
# Energy relative to the elements: -0.020 eV/atom
# ΔE to the lowest computed polymorph: 59.2 meV per atom
# Crystal system: triclinic

***

Number 2 is which compound?
K2DyMnS4